This record from Alexandria describes an optimized crystal structure of MnP2Br. The functional is PBE-GGA.

Cell: 3.634 3.671 6.129 Å, 88.45 90.00 90.00°
Positions (direct):
1 P 0.000 0.883 0.013
2 P 0.500 0.246 0.082
3 Br 0.000 0.643 0.560
4 Mn 0.500 0.729 0.845

Properties
* mass density: 3.997 g/cm3
* excess energy over the best structure of this formula in the dataset: 146 meV per atom
* raw formation energy: 0.078 eV per atom
* crystal system: monoclinic

This record from Alexandria describes an optimized crystal structure of KGaGe. The functional is PBE-GGA.

Cell: 4.684 14.266 8.337 Å, 31.18 73.68 90.00°
Positions (direct):
1 Ge 0.963 0.463 0.075
2 Ge 0.610 0.798 0.780
3 Ge 0.610 0.422 0.780
4 K 0.383 0.013 0.234
5 K 0.170 0.170 0.660
6 K 0.383 0.753 0.234
7 Ga 0.905 0.592 0.190
8 Ga 0.905 0.218 0.190
9 Ga 0.633 0.633 0.733

Properties
* mass density: 3.731 g/cm3
* formation energy from the elements: 0.0330 eV per atom
* crystal system: orthorhombic

So what do the calculations give for E? Going down the list: -21.4, -25.9 eV for the cell shown.